[1]
{
  "formula": "Si2SbPb",
  "functional": "PBE",
  "state": "relaxed",
  "magnetic_moment_mub_per_fu": 0.00,
  "sg": "No. 122",
  "final_energy_ev_per_cell": -67.29,
  "crystal_system": "tetragonal",
  "dos_ef_per_ev_fu": 2.17,
  "cell": [[6.508, 0.000, 0.000], [0.000, 6.508, 0.000], [0.000, 0.000, 11.499]],
  "species": ["Si", "Si", "Si", "Si", "Si", "Si", "Si", "Si", "Sb", "Sb", "Sb", "Sb", "Pb", "Pb", "Pb", "Pb"],
  "frac_coords": [[0.236, 0.250, 0.125], [0.250, 0.736, 0.375], [0.250, 0.764, 0.875], [0.264, 0.250, 0.625], [0.736, 0.750, 0.625], [0.750, 0.236, 0.875], [0.750, 0.264, 0.375], [0.764, 0.750, 0.125], [0.000, 0.000, 0.000], [0.000, 0.500, 0.250], [0.500, 0.000, 0.750], [0.500, 0.500, 0.500], [0.000, 0.000, 0.500], [0.000, 0.500, 0.750], [0.500, 0.000, 0.250], [0.500, 0.500, 0.000]]
}


[2]
{
  "formula": "CrCoPt",
  "functional": "PBE",
  "state": "relaxed",
  "delta_e_f_mev_per_atom": -60,
  "magnetic_moment_mub_per_fu": 0.39,
  "sg": "No. 107",
  "final_energy_ev_per_cell": -45.90,
  "crystal_system": "tetragonal",
  "dos_ef_per_ev_fu": 2.70,
  "cell": [[2.636, 0.000, 0.000], [0.000, 2.636, 0.000], [0.000, 0.000, 10.876]],
  "species": ["Cr", "Cr", "Co", "Co", "Pt", "Pt"],
  "frac_coords": [[0.000, 0.000, 0.000], [0.500, 0.500, 0.500], [0.000, 0.000, 0.356], [0.500, 0.500, 0.856], [0.000, 0.000, 0.675], [0.500, 0.500, 0.175]]
}


[3]
{
  "formula": "ZrTc2Br",
  "functional": "PBE",
  "state": "relaxed",
  "magnetic_moment_mub_per_fu": 0.00,
  "sg": "No. 166",
  "final_energy_ev_per_cell": -87.15,
  "crystal_system": "trigonal",
  "dos_ef_per_ev_fu": 4.61,
  "cell": [[3.155, 0.000, 0.000], [-1.577, 2.732, 0.000], [0.000, 0.000, 25.235]],
  "species": ["Zr", "Zr", "Zr", "Tc", "Tc", "Tc", "Tc", "Tc", "Tc", "Br", "Br", "Br"],
  "frac_coords": [[0.000, 0.000, 0.000], [0.333, 0.667, 0.667], [0.667, 0.333, 0.333], [0.000, 0.000, 0.251], [0.000, 0.000, 0.749], [0.333, 0.667, 0.416], [0.333, 0.667, 0.917], [0.667, 0.333, 0.083], [0.667, 0.333, 0.584], [0.000, 0.000, 0.500], [0.333, 0.667, 0.167], [0.667, 0.333, 0.833]]
}


How do the records compare in ΔE to the lowest computed polymorph? In the order shown, they have 198.8 33.7 509.3 meV/atom.